Entry 1:
This record from Alexandria via LeMat-Bulk describes MgP after structural relaxation. The functional is PBE-GGA.

Results
Density of states at the Fermi level: 14.9 states/eV per cell
Magnetic moment: 7.88 μB/cell
DFT formation energy: 0.114 eV per atom

Structure (CIF):
```
data_MgP
_cell_length_a 8.0518
_cell_length_b 8.0518
_cell_length_c 8.0518
_cell_angle_alpha 90.00
_cell_angle_beta 90.00
_cell_angle_gamma 90.00
_symmetry_space_group_name_H-M 'P 1'
_symmetry_Int_Tables_number 1
_symmetry_space_group_name_Hall 'P 1'
loop_
_atom_site_label
_atom_site_type_symbol
_atom_site_fract_x
_atom_site_fract_y
_atom_site_fract_z
P1 P 0.3313 0.6687 0.6687
Mg1 Mg 0.1511 0.1511 0.1511
Mg2 Mg 0.8489 0.8489 0.1511
P2 P 0.1687 0.1687 0.8313
P3 P 0.6687 0.3313 0.6687
P4 P 0.3313 0.3313 0.3313
P5 P 0.8313 0.8313 0.8313
Mg3 Mg 0.6511 0.6511 0.6511
Mg4 Mg 0.3489 0.6511 0.3489
P6 P 0.1687 0.8313 0.1687
P7 P 0.8313 0.1687 0.1687
Mg5 Mg 0.8489 0.1511 0.8489
Mg6 Mg 0.1511 0.8489 0.8489
Mg7 Mg 0.3489 0.3489 0.6511
P8 P 0.6687 0.6687 0.3313
Mg8 Mg 0.6511 0.3489 0.3489
```



Entry 2:
This record from Alexandria via LeMat-Bulk describes Sm2CoNi3P4 after structural relaxation. The functional is PBE-GGA.

Results
Density of states at the Fermi level: 5.4 states/eV per cell
Magnetic moment: 0.94 μB/cell
DFT formation energy: -0.976 eV per atom

Structure (CIF):
```
data_Sm2CoNi3P4
_cell_length_a 4.0029
_cell_length_b 4.0029
_cell_length_c 9.2000
_cell_angle_alpha 90.00
_cell_angle_beta 90.00
_cell_angle_gamma 90.00
_symmetry_space_group_name_H-M 'P 1'
_symmetry_Int_Tables_number 1
_symmetry_space_group_name_Hall 'P 1'
loop_
_atom_site_label
_atom_site_type_symbol
_atom_site_fract_x
_atom_site_fract_y
_atom_site_fract_z
P1 P 0.5000 0.0000 0.6301
Sm1 Sm 0.5000 0.0000 0.2471
Ni1 Ni 0.5000 0.0000 0.8832
Ni2 Ni 0.0000 0.0000 0.5000
P2 P 0.5000 0.5000 0.0000
Ni3 Ni 0.0000 0.5000 0.1168
P3 P 0.0000 0.0000 0.0000
Co1 Co 0.5000 0.5000 0.5000
P4 P 0.0000 0.5000 0.3699
Sm2 Sm 0.0000 0.5000 0.7529
```



Entry 3:
This record from Alexandria via LeMat-Bulk describes Dy6AlAg after structural relaxation. The functional is PBE-GGA.

Results
Density of states at the Fermi level: 7.9 states/eV per cell
Magnetic moment: 0.00 μB/cell
DFT formation energy: -0.150 eV per atom

Structure (CIF):
```
data_Dy6AlAg
_cell_length_a 9.5299
_cell_length_b 9.5299
_cell_length_c 9.5299
_cell_angle_alpha 149.41
_cell_angle_beta 149.41
_cell_angle_gamma 43.81
_symmetry_space_group_name_H-M 'P 1'
_symmetry_Int_Tables_number 1
_symmetry_space_group_name_Hall 'P 1'
loop_
_atom_site_label
_atom_site_type_symbol
_atom_site_fract_x
_atom_site_fract_y
_atom_site_fract_z
Ag1 Ag 0.0000 0.0000 0.0000
Al1 Al 0.5000 0.5000 0.0000
Dy1 Dy 0.8924 0.3924 0.5000
Dy2 Dy 0.6076 0.1076 0.5000
Dy3 Dy 0.2515 0.2515 0.0000
Dy4 Dy 0.7485 0.7485 0.0000
Dy5 Dy 0.3924 0.8924 0.5000
Dy6 Dy 0.1076 0.6076 0.5000
```



Entry 4:
This record from Alexandria via LeMat-Bulk describes BeTc2Te after structural relaxation. The functional is PBE-GGA.

Results
ΔE_f (raw): 0.1327 eV/atom
Density of states at the Fermi level: 2.6 states/eV per cell
Magnetic moment: 0.00 μB/cell

Structure (CIF):
```
data_BeTc2Te
_cell_length_a 3.1659
_cell_length_b 3.1659
_cell_length_c 6.0286
_cell_angle_alpha 90.00
_cell_angle_beta 90.00
_cell_angle_gamma 90.00
_symmetry_space_group_name_H-M 'P 1'
_symmetry_Int_Tables_number 1
_symmetry_space_group_name_Hall 'P 1'
loop_
_atom_site_label
_atom_site_type_symbol
_atom_site_fract_x
_atom_site_fract_y
_atom_site_fract_z
Te1 Te 0.0000 0.0000 0.4954
Tc1 Tc 0.5000 0.5000 0.2366
Tc2 Tc 0.0000 0.0000 0.9421
Be1 Be 0.5000 0.5000 0.8259
```



Entry 5:
This record from Alexandria via LeMat-Bulk describes CaPtS after structural relaxation. The functional is PBE-GGA.

Results
ΔE_f (raw): -1.1436 eV/atom
Density of states at the Fermi level: 0.0 states/eV per cell
Magnetic moment: 0.00 μB/cell

Structure (CIF):
```
data_CaPtS
_cell_length_a 4.2783
_cell_length_b 4.2875
_cell_length_c 8.0310
_cell_angle_alpha 111.89
_cell_angle_beta 94.96
_cell_angle_gamma 95.41
_symmetry_space_group_name_H-M 'P 1'
_symmetry_Int_Tables_number 1
_symmetry_space_group_name_Hall 'P 1'
loop_
_atom_site_label
_atom_site_type_symbol
_atom_site_fract_x
_atom_site_fract_y
_atom_site_fract_z
Ca1 Ca 0.1896 0.2147 0.4364
Ca2 Ca 0.3187 0.8853 0.9268
Pt1 Pt 0.6715 0.5519 0.2469
S1 S 0.7474 0.4316 0.7276
Pt2 Pt 0.7328 0.8616 0.6269
S2 S 0.1529 0.5244 0.1522
```



Entry 6:
This record from Alexandria via LeMat-Bulk describes Ag4SbCl after structural relaxation. The functional is PBE-GGA.

Results
ΔE_f (raw): 0.1660 eV/atom
Density of states at the Fermi level: 5.2 states/eV per cell
Magnetic moment: 0.00 μB/cell

Structure (CIF):
```
data_Ag4SbCl
_cell_length_a 5.6292
_cell_length_b 5.6292
_cell_length_c 5.6292
_cell_angle_alpha 60.00
_cell_angle_beta 60.00
_cell_angle_gamma 60.00
_symmetry_space_group_name_H-M 'P 1'
_symmetry_Int_Tables_number 1
_symmetry_space_group_name_Hall 'P 1'
loop_
_atom_site_label
_atom_site_type_symbol
_atom_site_fract_x
_atom_site_fract_y
_atom_site_fract_z
Ag1 Ag 0.3745 0.3745 0.3745
Ag2 Ag 0.8764 0.3745 0.3745
Ag3 Ag 0.3745 0.3745 0.8764
Ag4 Ag 0.3745 0.8764 0.3745
Cl1 Cl 0.7500 0.7500 0.7500
Sb1 Sb 0.0000 0.0000 0.0000
```



Entry 7:
This record from Alexandria via LeMat-Bulk describes NaUGa2I8 after structural relaxation. The functional is PBE-GGA.

Results
ΔE_f (raw): -0.6759 eV/atom
Density of states at the Fermi level: 1.0 states/eV per cell
Magnetic moment: 0.96 μB/cell

Structure (CIF):
```
data_NaUGa2I8
_cell_length_a 7.8143
_cell_length_b 7.2992
_cell_length_c 9.3233
_cell_angle_alpha 89.97
_cell_angle_beta 90.02
_cell_angle_gamma 91.25
_symmetry_space_group_name_H-M 'P 1'
_symmetry_Int_Tables_number 1
_symmetry_space_group_name_Hall 'P 1'
loop_
_atom_site_label
_atom_site_type_symbol
_atom_site_fract_x
_atom_site_fract_y
_atom_site_fract_z
I1 I 0.8507 0.2356 0.7756
I2 I 0.8505 0.2354 0.2241
I3 I 0.1493 0.7644 0.2244
Na1 Na 0.0000 0.0000 0.5000
I4 I 0.1495 0.7646 0.7759
U1 U 0.0000 0.0000 0.0000
I5 I 0.6888 0.7717 0.9998
Ga1 Ga 0.5000 0.5001 0.2730
I6 I 0.3112 0.2283 0.0002
I7 I 0.3335 0.2670 0.5000
I8 I 0.6665 0.7330 0.5000
Ga2 Ga 0.5000 0.4999 0.7270
```



Entry 8:
This record from Alexandria via LeMat-Bulk describes AcAlCuPt2 after structural relaxation. The functional is PBE-GGA.

Results
Density of states at the Fermi level: 4.1 states/eV per cell
Magnetic moment: 0.00 μB/cell
DFT formation energy: -0.720 eV per atom

Structure (CIF):
```
data_AcAlCuPt2
_cell_length_a 5.8869
_cell_length_b 5.6248
_cell_length_c 6.9275
_cell_angle_alpha 113.95
_cell_angle_beta 90.00
_cell_angle_gamma 90.00
_symmetry_space_group_name_H-M 'P 1'
_symmetry_Int_Tables_number 1
_symmetry_space_group_name_Hall 'P 1'
loop_
_atom_site_label
_atom_site_type_symbol
_atom_site_fract_x
_atom_site_fract_y
_atom_site_fract_z
Pt1 Pt 0.3000 0.3606 0.7212
Cu1 Cu 0.0000 0.0000 0.0000
Cu2 Cu 0.0000 0.5000 0.0000
Pt2 Pt 0.3000 0.1394 0.2788
Pt3 Pt 0.7000 0.8606 0.7212
Ac1 Ac 0.2285 0.7500 0.5000
Ac2 Ac 0.7715 0.2500 0.5000
Al1 Al 0.5000 0.7500 0.0000
Al2 Al 0.5000 0.2500 0.0000
Pt4 Pt 0.7000 0.6394 0.2788
```



Entry 9:
This record from Alexandria via LeMat-Bulk describes Na3NpCl8 after structural relaxation. The functional is PBE-GGA.

Results
ΔE_f (raw): -1.5160 eV/atom
Density of states at the Fermi level: 13.1 states/eV per cell
Magnetic moment: 2.02 μB/cell

Structure (CIF):
```
data_Na3NpCl8
_cell_length_a 6.7313
_cell_length_b 6.7313
_cell_length_c 6.7313
_cell_angle_alpha 90.00
_cell_angle_beta 90.00
_cell_angle_gamma 90.00
_symmetry_space_group_name_H-M 'P 1'
_symmetry_Int_Tables_number 1
_symmetry_space_group_name_Hall 'P 1'
loop_
_atom_site_label
_atom_site_type_symbol
_atom_site_fract_x
_atom_site_fract_y
_atom_site_fract_z
Na1 Na 0.5000 0.0000 0.5000
Cl1 Cl 0.7665 0.7665 0.2335
Cl2 Cl 0.2335 0.7665 0.2335
Np1 Np 0.0000 0.0000 0.0000
Na2 Na 0.0000 0.5000 0.5000
Cl3 Cl 0.7665 0.7665 0.7665
Cl4 Cl 0.2335 0.7665 0.7665
Cl5 Cl 0.7665 0.2335 0.2335
Cl6 Cl 0.2335 0.2335 0.7665
Cl7 Cl 0.2335 0.2335 0.2335
Na3 Na 0.5000 0.5000 0.0000
Cl8 Cl 0.7665 0.2335 0.7665
```



Entry 10:
This record from Alexandria via LeMat-Bulk describes KMnI2N after structural relaxation. The functional is PBE-GGA.

Results
ΔE_f (raw): -0.3078 eV/atom
Density of states at the Fermi level: 1.6 states/eV per cell
Magnetic moment: 3.01 μB/cell

Structure (CIF):
```
data_KMnI2N
_cell_length_a 5.9911
_cell_length_b 5.9911
_cell_length_c 3.7140
_cell_angle_alpha 90.00
_cell_angle_beta 90.00
_cell_angle_gamma 90.00
_symmetry_space_group_name_H-M 'P 1'
_symmetry_Int_Tables_number 1
_symmetry_space_group_name_Hall 'P 1'
loop_
_atom_site_label
_atom_site_type_symbol
_atom_site_fract_x
_atom_site_fract_y
_atom_site_fract_z
I1 I 0.5000 0.0000 0.0000
K1 K 0.5000 0.5000 0.5000
Mn1 Mn 0.0000 0.0000 0.0000
I2 I 0.0000 0.5000 0.0000
N1 N 0.0000 0.0000 0.5000
```



Entry 11:
This record from Alexandria via LeMat-Bulk describes BaZnHg2F8 after structural relaxation. The functional is PBE-GGA.

Results
ΔE_f (raw): -2.2141 eV/atom
Density of states at the Fermi level: 0.0 states/eV per cell
Magnetic moment: 0.00 μB/cell

Structure (CIF):
```
data_BaZnHg2F8
_cell_length_a 4.7317
_cell_length_b 5.4861
_cell_length_c 7.6263
_cell_angle_alpha 89.97
_cell_angle_beta 90.00
_cell_angle_gamma 89.18
_symmetry_space_group_name_H-M 'P 1'
_symmetry_Int_Tables_number 1
_symmetry_space_group_name_Hall 'P 1'
loop_
_atom_site_label
_atom_site_type_symbol
_atom_site_fract_x
_atom_site_fract_y
_atom_site_fract_z
F1 F 0.1387 0.7749 0.2059
Zn1 Zn 0.0000 0.0000 0.0000
F2 F 0.8614 0.2251 0.2057
Hg1 Hg 0.5000 0.5000 0.7697
Ba1 Ba 0.0000 0.0000 0.5000
F3 F 0.1386 0.7749 0.7943
F4 F 0.6657 0.7592 0.0001
F5 F 0.4597 0.2615 0.4997
Hg2 Hg 0.5000 0.5000 0.2303
F6 F 0.5403 0.7385 0.5003
F7 F 0.8613 0.2251 0.7941
F8 F 0.3343 0.2408 0.9999
```



Entry 12:
This record from Alexandria via LeMat-Bulk describes MnZn2Cr after structural relaxation. The functional is PBE-GGA.

Results
Density of states at the Fermi level: 4.5 states/eV per cell
Magnetic moment: 0.03 μB/cell
DFT formation energy: 0.167 eV per atom

Structure (CIF):
```
data_MnZn2Cr
_cell_length_a 8.7839
_cell_length_b 8.7839
_cell_length_c 8.7839
_cell_angle_alpha 17.22
_cell_angle_beta 17.22
_cell_angle_gamma 17.22
_symmetry_space_group_name_H-M 'P 1'
_symmetry_Int_Tables_number 1
_symmetry_space_group_name_Hall 'P 1'
loop_
_atom_site_label
_atom_site_type_symbol
_atom_site_fract_x
_atom_site_fract_y
_atom_site_fract_z
Cr1 Cr 0.4919 0.4919 0.4919
Zn1 Zn 0.0065 0.0065 0.0065
Mn1 Mn 0.7569 0.7569 0.7569
Zn2 Zn 0.2447 0.2447 0.2447
```